Entry 1:
Computed, not measured: a relaxed TlGeP2Cl crystal at the GGA-PBE level of DFT.

Lattice parameters (Å, degrees): 5.1222 5.1222 5.2723 90.00 90.00 90.00
Space group P4/mmm (No. 123)
One atom of each set of equivalent atoms:
1 Tl 0.0000 0.0000 0.0000
2 Ge 0.5000 0.5000 0.5000
3 P 0.0000 0.5000 0.0000
4 Cl 0.0000 0.0000 0.5000

- formation energy without anion corrections (meV/atom) = 994
- VASP energy (eV per formula unit) = -14.7
- total moment (μB/f.u.) = 0.581
- DOS at the Fermi energy (states/eV per cell) = 4.98

---

Entry 2:
Computed, not measured: a relaxed Ba2Ni2As2H crystal at the GGA-PBE level of DFT.

Lattice parameters (Å, degrees): 11.5777 4.2105 7.5659 90.00 125.98 90.00
Space group C2/m (No. 12)
One atom of each set of equivalent atoms:
1 Ba 0.0469 0.0000 0.3044
2 Ni 0.1789 0.5000 0.0874
3 As 0.2109 0.5000 0.7924
4 H 0.0000 0.5000 0.0000

- VASP energy (eV per formula unit) = -32.5
- total moment (μB/f.u.) = 0.000
- DOS at the Fermi energy (states/eV per cell) = 9.04

---

Entry 3:
Computed, not measured: a relaxed Re2Hg crystal at the GGA-PBE level of DFT.

Lattice parameters (Å, degrees): 2.8395 16.3023 4.4886 90.00 90.00 90.00
Space group Cmcm (No. 63)
One atom of each set of equivalent atoms:
1 Re 0.0000 0.0448 0.2500
2 Re 0.0000 0.4061 0.2500
3 Hg 0.0000 0.2914 0.7500

- VASP energy (eV per formula unit) = -23.8
- total moment (μB/f.u.) = 0.000
- ΔH_f (0 K) (eV per atom) = 0.46
- DOS at the Fermi energy (states/eV per cell) = 12.25

---

Entry 4:
Computed, not measured: a relaxed CaAcY2Tl4 crystal at the GGA-PBE level of DFT.

Lattice parameters (Å, degrees): 5.5119 5.5119 27.4907 90.00 90.00 120.00
Space group R-3m (No. 166, hexagonal axes)
One atom of each set of equivalent atoms:
1 Ca 0.0000 0.0000 0.0000
2 Ac 0.0000 0.0000 0.5000
3 Y 0.0000 0.0000 0.2538
4 Tl 0.0000 0.0000 0.1216
5 Tl 0.0000 0.0000 0.3724

- VASP energy (eV per formula unit) = -31.4
- total moment (μB/f.u.) = 0.000
- ΔH_f (0 K) (eV per atom) = -0.36
- DOS at the Fermi energy (states/eV per cell) = 16.78

---

Entry 5:
Computed, not measured: a relaxed CeMnPt6 crystal at the GGA-PBE level of DFT.

Lattice parameters (Å, degrees): 4.0759 4.0759 8.0596 90.00 90.00 90.00
Space group P4/mmm (No. 123)
One atom of each set of equivalent atoms:
1 Ce 0.0000 0.0000 0.0000
2 Mn 0.0000 0.0000 0.5000
3 Pt 0.0000 0.5000 0.2633
4 Pt 0.5000 0.5000 0.0000
5 Pt 0.5000 0.5000 0.5000

- VASP energy (eV per formula unit) = -56.5
- total moment (μB/f.u.) = 4.567
- ΔH_f (0 K) (eV per atom) = -0.65
- DOS at the Fermi energy (states/eV per cell) = 7.13

---

Entry 6:
Computed, not measured: a relaxed TcB3Br crystal at the GGA-PBE level of DFT.

Lattice parameters (Å, degrees): 4.0458 4.0458 4.0458 90.00 90.00 90.00
Space group Pm-3m (No. 221)
One atom of each set of equivalent atoms:
1 Tc 0.0000 0.0000 0.0000
2 B 0.0000 0.5000 0.5000
3 Br 0.5000 0.5000 0.5000

- formation energy without anion corrections (meV/atom) = 2726
- VASP energy (eV per formula unit) = -18.4
- total moment (μB/f.u.) = 2.192
- DOS at the Fermi energy (states/eV per cell) = 3.39

---

Entry 7:
Computed, not measured: a relaxed SrTePbO6 crystal at the GGA-PBE level of DFT.

Lattice parameters (Å, degrees): 5.5344 5.5344 10.7257 90.00 90.00 120.00
Space group P-31c (No. 163)
One atom of each set of equivalent atoms:
1 Sr 0.0000 0.0000 0.0000
2 Te 0.3333 0.6667 0.2500
3 Pb 0.3333 0.6667 0.7500
4 O 0.0327 0.3883 0.1442

- formation energy without anion corrections (meV/atom) = -1510
- VASP energy (eV per formula unit) = -51.9
- total moment (μB/f.u.) = 0.000
- DOS at the Fermi energy (states/eV per cell) = 0.00

---

Entry 8:
Computed, not measured: a relaxed Ac2MgCu2O6 crystal at the GGA-PBE level of DFT.

Lattice parameters (Å, degrees): 5.8300 5.8300 15.9029 90.00 90.00 120.00
Space group R-3m (No. 166, hexagonal axes)
One atom of each set of equivalent atoms:
1 Ac 0.0000 0.0000 0.2169
2 Mg 0.0000 0.0000 0.0000
3 Cu 0.0000 0.0000 0.4195
4 O 0.0325 0.5163 0.7562

- formation energy without anion corrections (meV/atom) = -1990
- VASP energy (eV per formula unit) = -69.6
- total moment (μB/f.u.) = 2.057
- DOS at the Fermi energy (states/eV per cell) = 11.31

---

Entry 9:
Computed, not measured: a relaxed LaZr2TaGe crystal at the GGA-PBE level of DFT.

Lattice parameters (Å, degrees): 5.1725 5.1725 4.9244 90.00 90.00 90.00
Space group P4/mmm (No. 123)
One atom of each set of equivalent atoms:
1 La 0.0000 0.0000 0.0000
2 Zr 0.0000 0.5000 0.5000
3 Ta 0.5000 0.5000 0.0000
4 Ge 0.5000 0.5000 0.5000

- VASP energy (eV per formula unit) = -36.7
- total moment (μB/f.u.) = 0.000
- ΔH_f (0 K) (eV per atom) = 0.37
- DOS at the Fermi energy (states/eV per cell) = 8.19

---

Entry 10:
Computed, not measured: a relaxed Ce3HS3 crystal at the GGA-PBE level of DFT.

Lattice parameters (Å, degrees): 9.5316 9.5316 5.7221 90.00 90.00 120.00
Space group R3m (No. 160, hexagonal axes)
One atom of each set of equivalent atoms:
1 Ce 0.0490 0.5245 0.0000
2 H 0.0000 0.0000 0.3649
3 S 0.0481 0.5241 0.5042

- VASP energy (eV per formula unit) = -43.2
- total moment (μB/f.u.) = 3.448
- DOS at the Fermi energy (states/eV per cell) = 51.89

---

Entry 11:
Computed, not measured: a relaxed ErAgP2O8 crystal at the GGA-PBE level of DFT.

Lattice parameters (Å, degrees): 6.9772 6.9772 6.1073 90.00 90.00 90.00
Space group I-4m2 (No. 119)
One atom of each set of equivalent atoms:
1 Er 0.0000 0.0000 0.0000
2 Ag 0.0000 0.5000 0.2500
3 P 0.0000 0.0000 0.5000
4 P 0.0000 0.5000 0.7500
5 O 0.0000 0.1687 0.3338
6 O 0.0000 0.3231 0.9039

- formation energy without anion corrections (meV/atom) = -2023
- VASP energy (eV per formula unit) = -82.2
- total moment (μB/f.u.) = 2.065
- DOS at the Fermi energy (states/eV per cell) = 13.61

---

Entry 12:
Computed, not measured: a relaxed AcHoAgHg crystal at the GGA-PBE level of DFT.

Lattice parameters (Å, degrees): 7.6982 7.6982 7.6982 90.00 90.00 90.00
Space group F-43m (No. 216)
One atom of each set of equivalent atoms:
1 Ac 0.0000 0.0000 0.0000
2 Ho 0.0000 0.0000 0.5000
3 Ag 0.2500 0.2500 0.2500
4 Hg 0.2500 0.2500 0.7500

- VASP energy (eV per formula unit) = -13.2
- total moment (μB/f.u.) = 0.000
- ΔH_f (0 K) (eV per atom) = -0.34
- DOS at the Fermi energy (states/eV per cell) = 8.17

---

Entry 13:
Computed, not measured: a relaxed Na2Zn2PdAu5 crystal at the GGA-PBE level of DFT.

Lattice parameters (Å, degrees): 10.5246 10.5246 3.4638 90.00 90.00 90.00
Space group P4/mbm (No. 127)
One atom of each set of equivalent atoms:
1 Na 0.1741 0.3259 0.0000
2 Zn 0.1302 0.6302 0.0000
3 Pd 0.0000 0.0000 0.0000
4 Au 0.0000 0.5000 0.5000
5 Au 0.0606 0.8031 0.5000

- VASP energy (eV per formula unit) = -29.3
- total moment (μB/f.u.) = 0.000
- ΔH_f (0 K) (eV per atom) = -0.25
- DOS at the Fermi energy (states/eV per cell) = 4.32

---

Entry 14:
Computed, not measured: a relaxed NbTl2Hg crystal at the GGA-PBE level of DFT.

Lattice parameters (Å, degrees): 3.1222 3.1222 37.4979 90.00 90.00 120.00
Space group R-3m (No. 166, hexagonal axes)
One atom of each set of equivalent atoms:
1 Nb 0.0000 0.0000 0.0000
2 Tl 0.0000 0.0000 0.0793
3 Hg 0.0000 0.0000 0.5000

- VASP energy (eV per formula unit) = -13.0
- total moment (μB/f.u.) = 0.000
- ΔH_f (0 K) (eV per atom) = 0.54
- DOS at the Fermi energy (states/eV per cell) = 10.14

---

Entry 15:
Computed, not measured: a relaxed CdNiMo crystal at the GGA-PBE level of DFT.

Lattice parameters (Å, degrees): 2.8033 2.8033 6.9410 90.00 90.00 120.00
Space group P3m1 (No. 156)
One atom of each set of equivalent atoms:
1 Cd 0.0000 0.0000 0.0000
2 Ni 0.3333 0.6667 0.6662
3 Mo 0.6667 0.3333 0.3776

- VASP energy (eV per formula unit) = -16.7
- total moment (μB/f.u.) = 0.001
- ΔH_f (0 K) (eV per atom) = 0.29
- DOS at the Fermi energy (states/eV per cell) = 3.44

---

Entry 16:
Computed, not measured: a relaxed RhC3 crystal at the GGA-PBE level of DFT.

Lattice parameters (Å, degrees): 4.5860 13.4242 2.6410 90.00 90.00 90.00
Space group Cmcm (No. 63)
One atom of each set of equivalent atoms:
1 Rh 0.0000 0.1144 0.2500
2 C 0.0000 0.3149 0.7500
3 C 0.1475 0.3914 0.2500

- VASP energy (eV per formula unit) = -27.8
- total moment (μB/f.u.) = 0.000
- ΔH_f (0 K) (eV per atom) = 1.81
- DOS at the Fermi energy (states/eV per cell) = 4.95

---

Entry 17:
Computed, not measured: a relaxed Ba2LaHg crystal at the GGA-PBE level of DFT.

Lattice parameters (Å, degrees): 4.4239 5.4308 7.4661 90.00 107.18 90.00
Space group Pm (No. 6)
One atom of each set of equivalent atoms:
1 Ba 0.0000 0.0000 0.0000
2 Ba 0.3164 0.5000 0.6377
3 La 0.7098 0.0000 0.4275
4 Hg 0.5938 0.5000 0.1834

- VASP energy (eV per formula unit) = -9.5
- total moment (μB/f.u.) = 0.000
- ΔH_f (0 K) (eV per atom) = -0.11
- DOS at the Fermi energy (states/eV per cell) = 4.45

---

Entry 18:
Computed, not measured: a relaxed AgB crystal at the GGA-PBE level of DFT.

Lattice parameters (Å, degrees): 4.2907 4.2907 3.2255 90.00 90.00 120.00
Space group P6_3/mmc (No. 194)
One atom of each set of equivalent atoms:
1 Ag 0.3333 0.6667 0.2500
2 B 0.0000 0.0000 0.0000

- VASP energy (eV per formula unit) = -8.6
- total moment (μB/f.u.) = 0.000
- ΔH_f (0 K) (eV per atom) = 0.44
- DOS at the Fermi energy (states/eV per cell) = 0.96

---

Entry 19:
Computed, not measured: a relaxed AcPmPr2Sm4 crystal at the GGA-PBE level of DFT.

Lattice parameters (Å, degrees): 13.9985 13.6411 7.0603 90.00 120.19 90.00
Space group C2/c (No. 15)
One atom of each set of equivalent atoms:
1 Ac 0.2500 0.2500 0.0000
2 Pm 0.0000 0.0000 0.0000
3 Pr 0.0000 0.5000 0.0000
4 Pr 0.2500 0.2500 0.5000
5 Sm 0.9998 0.2479 0.0141
6 Sm 0.2478 0.0072 0.4671

- VASP energy (eV per formula unit) = -34.2
- total moment (μB/f.u.) = 0.001
- ΔH_f (0 K) (eV per atom) = 0.38
- DOS at the Fermi energy (states/eV per cell) = 75.38

---

Entry 20:
Computed, not measured: a relaxed Nd2ErAu2 crystal at the GGA-PBE level of DFT.

Lattice parameters (Å, degrees): 4.0049 7.0962 9.7690 90.00 90.00 90.00
Space group Immm (No. 71)
One atom of each set of equivalent atoms:
1 Nd 0.0000 0.0000 0.1991
2 Er 0.0000 0.5000 0.0000
3 Au 0.0000 0.2906 0.5000

- VASP energy (eV per formula unit) = -23.7
- total moment (μB/f.u.) = 0.000
- ΔH_f (0 K) (eV per atom) = -0.61
- DOS at the Fermi energy (states/eV per cell) = 12.95

---

Entry 21:
Computed, not measured: a relaxed Ac3Al2InO9 crystal at the GGA-PBE level of DFT.

Lattice parameters (Å, degrees): 5.6258 5.6258 6.9488 90.00 90.00 120.00
Space group P-3m1 (No. 164)
One atom of each set of equivalent atoms:
1 Ac 0.0000 0.0000 0.0000
2 Ac 0.3333 0.6667 0.6771
3 Al 0.3333 0.6667 0.1602
4 In 0.0000 0.0000 0.5000
5 O 0.0000 0.5000 0.0000
6 O 0.1749 0.3498 0.3178

- formation energy without anion corrections (meV/atom) = -2959
- VASP energy (eV per formula unit) = -111.6
- total moment (μB/f.u.) = 0.000
- DOS at the Fermi energy (states/eV per cell) = 0.00

---

Entry 22:
Computed, not measured: a relaxed NbTcHgBi2 crystal at the GGA-PBE level of DFT.

Lattice parameters (Å, degrees): 5.4633 5.4633 5.4115 90.00 90.00 90.00
Space group P4/mmm (No. 123)
One atom of each set of equivalent atoms:
1 Nb 0.0000 0.0000 0.0000
2 Tc 0.5000 0.5000 0.5000
3 Hg 0.0000 0.0000 0.5000
4 Bi 0.0000 0.5000 0.0000

- VASP energy (eV per formula unit) = -22.1
- total moment (μB/f.u.) = 4.855
- ΔH_f (0 K) (eV per atom) = 1.29
- DOS at the Fermi energy (states/eV per cell) = 4.09

---

Entry 23:
Computed, not measured: a relaxed Ac8LaEr4 crystal at the GGA-PBE level of DFT.

Lattice parameters (Å, degrees): 8.3337 8.3337 8.3337 90.00 90.00 90.00
Space group Pm-3m (No. 221)
One atom of each set of equivalent atoms:
1 Ac 0.2401 0.2401 0.2401
2 La 0.5000 0.5000 0.5000
3 Er 0.0000 0.0000 0.0000
4 Er 0.0000 0.5000 0.5000

- VASP energy (eV per formula unit) = -50.9
- total moment (μB/f.u.) = 0.001
- ΔH_f (0 K) (eV per atom) = 0.39
- DOS at the Fermi energy (states/eV per cell) = 18.90

---

Entry 24:
Computed, not measured: a relaxed BIr3Ru crystal at the GGA-PBE level of DFT.

Lattice parameters (Å, degrees): 4.0897 4.0897 4.0897 90.00 90.00 90.00
Space group Pm-3m (No. 221)
One atom of each set of equivalent atoms:
1 B 0.0000 0.0000 0.0000
2 Ir 0.0000 0.0000 0.5000
3 Ru 0.5000 0.5000 0.5000

- VASP energy (eV per formula unit) = -40.7
- total moment (μB/f.u.) = 0.001
- ΔH_f (0 K) (eV per atom) = 0.37
- DOS at the Fermi energy (states/eV per cell) = 10.31